The following is a DFT calculation (PBE) of crystalline YSc2Pb at its relaxed geometry.

As for the crystal system: trigonal.

a = 3.4569 Å, b = 3.4569 Å, c = 31.5132 Å
α = 90.00°, β = 90.00°, γ = 120.00°
Space group R3m (No. 160, hexagonal axes)
Unique sites:
Y  0.0000  0.0000  0.0000 x3
Sc  0.0000  0.0000  0.5005 x3
Sc  0.0000  0.0000  0.7533 x3
Pb  0.0000  0.0000  0.2471 x3

The following is a DFT calculation (PBE) of crystalline YZr2ScPb at its relaxed geometry.

As for the crystal system: tetragonal.

a = 5.235 Å, b = 5.235 Å, c = 5.261 Å
α = 90.00°, β = 90.00°, γ = 90.00°
Space group P4/mmm (No. 123)
Unique sites:
Y  0.000  0.000  0.000 x1
Zr  0.000  0.500  0.000 x2
Sc  0.000  0.000  0.500 x1
Pb  0.500  0.500  0.500 x1

The following is a DFT calculation (PBE) of crystalline Sc4ZnPb at its relaxed geometry.

As for the crystal system: cubic.

a = 8.315 Å, b = 8.315 Å, c = 8.315 Å
α = 90.00°, β = 90.00°, γ = 90.00°
Space group F-43m (No. 216)
Unique sites:
Sc  0.125  0.125  0.125 x16
Zn  0.250  0.250  0.750 x4
Pb  0.000  0.000  0.500 x4

The following is a DFT calculation (PBE) of crystalline ScZnPb2 at its relaxed geometry.

As for the crystal system: cubic.

a = 7.435 Å, b = 7.435 Å, c = 7.435 Å
α = 90.00°, β = 90.00°, γ = 90.00°
Space group F-43m (No. 216)
Unique sites:
Sc  0.000  0.000  0.000 x4
Zn  0.250  0.250  0.250 x4
Pb  0.000  0.000  0.500 x4
Pb  0.250  0.250  0.750 x4

The following is a DFT calculation (PBE) of crystalline Sc2Zn2Pb at its relaxed geometry.

As for the crystal system: tetragonal.

a = 4.483 Å, b = 4.483 Å, c = 11.338 Å
α = 90.00°, β = 90.00°, γ = 90.00°
Space group I4/mmm (No. 139)
Unique sites:
Sc  0.000  0.500  0.250 x4
Zn  0.000  0.000  0.104 x4
Pb  0.000  0.000  0.500 x2

The following is a DFT calculation (PBE) of crystalline Sc2Zn2Pb at its relaxed geometry.

As for the crystal system: tetragonal.

a = 7.908 Å, b = 7.908 Å, c = 3.490 Å
α = 90.00°, β = 90.00°, γ = 90.00°
Space group P4/mbm (No. 127)
Unique sites:
Sc  0.151  0.349  0.000 x4
Zn  0.144  0.644  0.500 x4
Pb  0.000  0.000  0.000 x2

no.,M_tot (μB/atom),E (eV per atom),formation energy (kJ/mol of formula units)
1,0.003,-5.8161,-41.4
2,0.000,-5.6055,537.7
3,0.000,-4.8482,117.6
4,0.000,-3.6985,22.0
5,0.146,-3.8017,-8.6
6,0.013,-3.8934,-52.8